{"formula": "BaReMo", "functional": "PBE-GGA", "state": "relaxed", "cell": [[0.000, 3.358, 3.358], [3.358, 0.000, 3.358], [3.358, 3.358, 0.000]], "species": ["Ba", "Re", "Mo"], "fractional_positions": [[0.000, 0.000, 0.000], [0.250, 0.250, 0.250], [0.750, 0.750, 0.750]], "relative_energy_mev_per_atom": 2054.8, "sg": "F-43m (216)", "magnetic_moment_mub_per_fu": 0.7, "crystal_system": "cubic"}

{"formula": "Ba4ReMo", "functional": "PBE-GGA", "state": "relaxed", "cell": [[0.000, 4.881, 4.881], [4.881, 0.000, 4.881], [4.881, 4.881, 0.000]], "species": ["Ba", "Ba", "Ba", "Ba", "Re", "Mo"], "fractional_positions": [[0.376, 0.376, 0.376], [0.376, 0.376, 0.873], [0.376, 0.873, 0.376], [0.873, 0.376, 0.376], [0.750, 0.750, 0.750], [0.000, 0.000, 0.000]], "e_tot_ev_per_atom": -3.295, "sg": "F-43m (216)", "magnetic_moment_mub_per_fu": 6.9, "crystal_system": "cubic"}

{"formula": "BaReMo", "functional": "PBE-GGA", "state": "relaxed", "cell": [[-1.698, 1.698, 6.412], [1.698, -1.698, 6.412], [1.698, 1.698, -6.412]], "species": ["Ba", "Re", "Mo"], "fractional_positions": [[0.000, 0.000, 0.000], [0.713, 0.713, 0.000], [0.280, 0.280, 0.000]], "relative_energy_mev_per_atom": 0.0, "sg": "I4mm (107)", "magnetic_moment_mub_per_fu": 0.0, "crystal_system": "tetragonal"}

{"formula": "BaRe3Mo", "functional": "PBE-GGA", "state": "relaxed", "cell": [[4.882, 0.000, 0.000], [0.000, 4.882, 0.000], [0.000, 0.000, 4.882]], "species": ["Ba", "Re", "Re", "Re", "Mo"], "fractional_positions": [[0.000, 0.000, 0.000], [0.000, 0.500, 0.500], [0.500, 0.000, 0.500], [0.500, 0.500, 0.000], [0.500, 0.500, 0.500]], "relative_energy_mev_per_atom": 0.0, "sg": "Pm-3m (221)", "magnetic_moment_mub_per_fu": 2.4, "crystal_system": "cubic"}

{"formula": "Ba2ReMoRh", "functional": "PBE-GGA", "state": "relaxed", "cell": [[5.977, 0.000, 0.000], [0.000, 5.977, 0.000], [0.000, 0.000, 4.737]], "species": ["Ba", "Ba", "Re", "Mo", "Rh"], "fractional_positions": [[0.000, 0.500, 0.000], [0.500, 0.000, 0.000], [0.000, 0.000, 0.000], [0.500, 0.500, 0.500], [0.000, 0.000, 0.500]], "e_tot_ev_per_atom": -5.414, "sg": "P4/mmm (123)", "magnetic_moment_mub_per_fu": 4.9, "crystal_system": "tetragonal"}

{"formula": "BaReSnMo2", "functional": "PBE-GGA", "state": "relaxed", "cell": [[5.044, 0.000, 0.000], [0.000, 5.044, 0.000], [0.000, 0.000, 5.910]], "species": ["Ba", "Re", "Sn", "Mo", "Mo"], "fractional_positions": [[0.000, 0.000, 0.000], [0.500, 0.500, 0.000], [0.000, 0.000, 0.500], [0.000, 0.500, 0.500], [0.500, 0.000, 0.500]], "e_tot_ev_per_atom": -5.376, "sg": "P4/mmm (123)", "magnetic_moment_mub_per_fu": 4.6, "crystal_system": "tetragonal"}